A plane-wave DFT calculation with PBE was carried out for an optimized crystal structure of Dy2GaBi4.

Summary:
The formation energy is -0.305 eV per atom. The density of states at the Fermi level is 0.661 states/eV per atom. The space-group type is No. 12.

Cell lengths 4.5538, 6.0982, 8.3077 Å; angles 96.12, 105.91, 90.00 degrees
Fractional positions:
Bi1 0.5547 0.2984 0.1094
Dy1 0.8034 0.7670 0.6067
Dy2 0.1966 0.2330 0.3933
Bi2 0.8385 0.2765 0.6769
Bi3 0.1615 0.7235 0.3231
Ga1 0.0000 0.0000 0.0000
Bi4 0.4453 0.7016 0.8906